Density functional theory data (PBE with a Hubbard U) for an optimized crystal structure of NaNpMn2O8.

Its total energy is -89.571 eV per cell. The calculation puts the density at 5.8 Mg/m³.

abc: 4.821 4.821 6.156
angles: 90.00 90.00 88.14
Site moments in Bohr magnetons follow the coordinates.
Element x y z (fractional)
Na  0.000  0.000  0.500  0.00
Np  0.000  0.000  0.000  0.17
Mn  0.500  0.500  0.742  3.29
Mn  0.500  0.500  0.258  3.29
O  0.210  0.790  0.223  -0.06
O  0.688  0.688  0.000  -0.07
O  0.790  0.210  0.223  -0.06
O  0.790  0.210  0.777  -0.06
O  0.312  0.312  0.000  -0.07
O  0.210  0.790  0.777  -0.06
O  0.668  0.668  0.500  -0.19
O  0.332  0.332  0.500  -0.19